MgReAu2 (PBE, relaxed); space group = Pmmm (47); total magnetic moment = 0.5 μB per formula unit; calculated volume = 68.7 Å³/cell
1.0
2.8383 0.0000 0.0000
0.0000 4.8702 0.0000
0.0000 0.0000 4.9689
Mg Re Au
1 1 2
Direct
0.0000 0.0000 0.0000
0.5000 0.0000 0.5000
0.0000 0.5000 0.5000
0.5000 0.5000 0.0000

Cs5Tl2Cd4 (PBE, relaxed); space group = C2/m (12); total magnetic moment = 0.0 μB per formula unit; calculated volume = 588.1 Å³/cell
1.0
5.9396 -5.4725 0.0000
5.9396 5.4725 0.0000
-4.5016 0.0000 9.0456
Cs Tl Cd
5 2 4
Direct
0.0000 0.0000 0.0000
0.0874 0.5105 0.3152
0.4895 0.9126 0.6848
0.5105 0.0874 0.3152
0.9126 0.4895 0.6848
0.4642 0.4642 0.7950
0.5358 0.5358 0.2050
0.0160 0.0160 0.6502
0.2906 0.2906 0.9365
0.7094 0.7094 0.0635
0.9840 0.9840 0.3498

MgAg6Bi (PBE, relaxed); space group = Amm2 (38); total magnetic moment = 0.0 μB per formula unit; calculated volume = 315.7 Å³/cell
1.0
4.8524 0.0000 0.0000
0.0000 6.1374 0.0000
0.0000 0.0000 10.6022
Mg Ag Bi
2 12 2
Direct
0.0000 0.0000 0.0000
0.0000 0.5000 0.5000
0.0000 0.0000 0.5088
0.0000 0.2365 0.7457
0.0000 0.2635 0.2457
0.0000 0.5000 0.0088
0.0000 0.7365 0.2457
0.0000 0.7635 0.7457
0.5000 0.0000 0.8350
0.5000 0.2471 0.0819
0.5000 0.2529 0.5819
0.5000 0.5000 0.3350
0.5000 0.7471 0.5819
0.5000 0.7529 0.0819
0.5000 0.0000 0.3329
0.5000 0.5000 0.8329

NaPmSm2Se4 (PBE, relaxed); space group = P2/m (10); formation energy without anion corrections = -14.1 eV/f.u.; total magnetic moment = 0.0 μB per formula unit; calculated volume = 208.4 Å³/cell
1.0
7.2716 0.0000 0.0000
0.0000 4.1686 0.0000
-2.3799 0.0000 6.8734
Na Pm Sm Se
1 1 2 4
Direct
0.0000 0.0000 0.0000
0.5000 0.5000 0.0000
0.0000 0.5000 0.5000
0.5000 0.0000 0.5000
0.2476 0.0000 0.7497
0.2513 0.5000 0.2526
0.7487 0.5000 0.7474
0.7524 0.0000 0.2503

CoAgMo2 (PBE, relaxed); energy above the lowest structure with this stoichiometry = 102 meV/atom; space group = Pm (6); total magnetic moment = 1.0 μB per formula unit; calculated volume = 60.0 Å³/cell
1.0
2.6671 0.0000 0.0000
0.0000 4.3393 0.0000
-0.5847 0.0000 5.1869
Co Ag Mo
1 1 2
Direct
0.0000 0.0000 0.0000
0.9943 0.5000 0.7068
0.4061 0.0000 0.4586
0.6069 0.5000 0.1825

Tm5NiRu (PBE, relaxed); space group = C2/c (15); total magnetic moment = 0.0 μB per formula unit; calculated volume = 347.4 Å³/cell
1.0
4.4293 -6.3149 0.0000
4.4293 6.3149 0.0000
-0.8526 0.0000 6.2093
Tm Ni Ru
10 2 2
Direct
0.0409 0.3372 0.8110
0.1783 0.8217 0.7500
0.2658 0.4264 0.3605
0.3372 0.0409 0.3110
0.4264 0.2658 0.8605
0.5736 0.7342 0.1395
0.6628 0.9591 0.6890
0.7342 0.5736 0.6395
0.8217 0.1783 0.2500
0.9591 0.6628 0.1890
0.0000 0.0000 0.0000
0.0000 0.0000 0.5000
0.3947 0.6053 0.7500
0.6053 0.3947 0.2500

LiSn2SbSe4 (PBE, relaxed); space group = P2/m (10); formation energy without anion corrections = -4.2 eV/f.u.; total magnetic moment = 0.0 μB per formula unit; calculated volume = 204.0 Å³/cell
1.0
7.1622 0.0000 0.0000
0.0000 4.1909 0.0000
-2.3128 0.0000 6.7950
Li Sn Sb Se
1 2 1 4
Direct
0.0000 0.0000 0.0000
0.0000 0.5000 0.5000
0.5000 0.0000 0.5000
0.5000 0.5000 0.0000
0.2421 0.5000 0.2360
0.2459 0.0000 0.7657
0.7541 0.0000 0.2343
0.7579 0.5000 0.7640

AgTe4Pd3 (PBE, relaxed); space group = Pmmn (59); formation energy without anion corrections = -1.9 eV/f.u.; total magnetic moment = 0.0 μB per formula unit; calculated volume = 389.9 Å³/cell
1.0
4.8602 0.0000 0.0000
0.0000 10.5809 0.0000
0.0000 0.0000 7.5824
Ag Te Pd
2 8 6
Direct
0.2500 0.2500 0.0751
0.7500 0.7500 0.9249
0.2500 0.2500 0.7022
0.2500 0.5074 0.2392
0.2500 0.7500 0.7438
0.2500 0.9926 0.2392
0.7500 0.0074 0.7608
0.7500 0.2500 0.2562
0.7500 0.4926 0.7608
0.7500 0.7500 0.2978
0.2500 0.5066 0.6032
0.2500 0.7500 0.1288
0.2500 0.9934 0.6032
0.7500 0.0066 0.3968
0.7500 0.2500 0.8712
0.7500 0.4934 0.3968

BaTe2PI (PBE, relaxed); energy above the lowest structure with this stoichiometry = 1304 meV/atom; space group = P4/mmm (123); formation energy without anion corrections = 3.7 eV/f.u.; total magnetic moment = 0.0 μB per formula unit; calculated volume = 283.2 Å³/cell
1.0
6.6449 0.0000 0.0000
0.0000 6.6449 0.0000
0.0000 0.0000 6.4140
Ba Te P I
1 2 1 1
Direct
0.0000 0.0000 0.0000
0.0000 0.5000 0.0000
0.5000 0.0000 0.0000
0.5000 0.5000 0.5000
0.0000 0.0000 0.5000

Ac2LaPrNd5 (PBE, relaxed); space group = Cmc2_1 (36); total magnetic moment = 0.0 μB per formula unit; calculated volume = 680.3 Å³/cell
1.0
2.9909 -9.0247 0.0000
2.9909 9.0247 0.0000
0.0000 0.0000 12.6024
Ac La Pr Nd
4 2 2 10
Direct
0.0820 0.9180 0.5000
0.1121 0.8879 0.1692
0.8879 0.1121 0.6692
0.9180 0.0820 0.0000
0.2511 0.7489 0.6734
0.7489 0.2511 0.1734
0.3872 0.6128 0.1734
0.6128 0.3872 0.6734
0.0863 0.9137 0.8407
0.2714 0.7286 0.9707
0.2727 0.7273 0.3709
0.4392 0.5608 0.5206
0.4433 0.5567 0.8109
0.5567 0.4433 0.3109
0.5608 0.4392 0.0206
0.7273 0.2727 0.8709
0.7286 0.2714 0.4707
0.9137 0.0863 0.3407

GdPuMgSc (PBE, relaxed); space group = F-43m (216); total magnetic moment = 13.3 μB per formula unit; calculated volume = 434.9 Å³/cell
1.0
7.5763 0.0000 0.0000
0.0000 7.5763 0.0000
0.0000 0.0000 7.5763
Gd Pu Mg Sc
4 4 4 4
Direct
0.0000 0.0000 0.0000
0.0000 0.5000 0.5000
0.5000 0.0000 0.5000
0.5000 0.5000 0.0000
0.0000 0.0000 0.5000
0.0000 0.5000 0.0000
0.5000 0.0000 0.0000
0.5000 0.5000 0.5000
0.2500 0.2500 0.7500
0.2500 0.7500 0.2500
0.7500 0.2500 0.2500
0.7500 0.7500 0.7500
0.2500 0.2500 0.2500
0.2500 0.7500 0.7500
0.7500 0.2500 0.7500
0.7500 0.7500 0.2500

TiTcMoW (PBE, relaxed); energy above the lowest structure with this stoichiometry = 0 meV/atom; space group = F-43m (216); total magnetic moment = 0.0 μB per formula unit; calculated volume = 247.2 Å³/cell
1.0
6.2758 0.0000 0.0000
0.0000 6.2758 0.0000
0.0000 0.0000 6.2758
Ti Tc Mo W
4 4 4 4
Direct
0.0000 0.0000 0.0000
0.0000 0.5000 0.5000
0.5000 0.0000 0.5000
0.5000 0.5000 0.0000
0.2500 0.2500 0.2500
0.2500 0.7500 0.7500
0.7500 0.2500 0.7500
0.7500 0.7500 0.2500
0.2500 0.2500 0.7500
0.2500 0.7500 0.2500
0.7500 0.2500 0.2500
0.7500 0.7500 0.7500
0.0000 0.0000 0.5000
0.0000 0.5000 0.0000
0.5000 0.0000 0.0000
0.5000 0.5000 0.5000

Number 1: energy -19.1 eV per cell. Number 2: energy -12.5 eV per cell. Number 3: energy -45.3 eV per cell. Number 4: energy -43.6 eV per cell. Number 5: energy -30.1 eV per cell. Number 6: energy -77.3 eV per cell. Number 7: energy -32.1 eV per cell. Number 8: energy -65.8 eV per cell. Number 9: energy -11.5 eV per cell. Number 10: energy -82.2 eV per cell. Number 11: energy -142.9 eV per cell. Number 12: energy -172.6 eV per cell.